Entry 1:
# NaDyHg, relaxed, DFT GGA-PBE
# ΔE_f = -0.040 eV per atom
# Relative energy among the computed polymorphs = 0.074 eV/atom
data_NaDyHg
_chemical_formula_sum 'Na6 Dy6 Hg6'
_cell_length_a 5.0169
_cell_length_b 5.0169
_cell_length_c 26.2514
_cell_angle_alpha 90.00
_cell_angle_beta 90.00
_cell_angle_gamma 120.00
_symmetry_space_group_name_H-M 'R -3 m'
_symmetry_Int_Tables_number 166
_symmetry_space_group_name_Hall '-R 3 2"'
loop_
_atom_site_label
_atom_site_fract_x
_atom_site_fract_y
_atom_site_fract_z
_atom_site_occupancy
Na1 0.0000 0.0000 0.1326 1
Dy1 0.0000 0.0000 0.3751 1
Hg1 0.0000 0.0000 0.2582 1

Entry 2:
# Na4DyHg5, relaxed, DFT GGA-PBE
# ΔE_f = -0.273 eV per atom
data_Na4DyHg5
_chemical_formula_sum 'Na4 Dy1 Hg5'
_cell_length_a 3.740
_cell_length_b 3.740
_cell_length_c 18.477
_cell_angle_alpha 90.00
_cell_angle_beta 90.00
_cell_angle_gamma 90.00
_symmetry_space_group_name_H-M 'P 4/m m m'
_symmetry_Int_Tables_number 123
_symmetry_space_group_name_Hall '-P 4 2'
loop_
_atom_site_label
_atom_site_fract_x
_atom_site_fract_y
_atom_site_fract_z
_atom_site_occupancy
Na1 0.000 0.000 0.098 1
Na2 0.000 0.000 0.300 1
Dy1 0.000 0.000 0.500 1
Hg1 0.500 0.500 0.000 1
Hg2 0.500 0.500 0.196 1
Hg3 0.500 0.500 0.404 1

Entry 3:
# NaDy2Hg6, relaxed, DFT GGA-PBE
# ΔE_f = -0.312 eV per atom
# Relative energy among the computed polymorphs = 0.000 eV/atom
data_NaDy2Hg6
_chemical_formula_sum 'Na1 Dy2 Hg6'
_cell_length_a 8.6738
_cell_length_b 8.6738
_cell_length_c 3.3595
_cell_angle_alpha 90.00
_cell_angle_beta 90.00
_cell_angle_gamma 120.00
_symmetry_space_group_name_H-M 'P 6/m m m'
_symmetry_Int_Tables_number 191
_symmetry_space_group_name_Hall '-P 6 2'
loop_
_atom_site_label
_atom_site_fract_x
_atom_site_fract_y
_atom_site_fract_z
_atom_site_occupancy
Na1 0.0000 0.0000 0.0000 1
Dy1 0.3333 0.6667 0.0000 1
Hg1 0.0000 0.3324 0.5000 1

Entry 4:
# NaDyHg4, relaxed, DFT GGA-PBE
# ΔE_f = -0.262 eV per atom
# Relative energy among the computed polymorphs = 0.034 eV/atom
data_NaDyHg4
_chemical_formula_sum 'Na1 Dy1 Hg4'
_cell_length_a 4.9767
_cell_length_b 4.9767
_cell_length_c 6.8884
_cell_angle_alpha 90.00
_cell_angle_beta 90.00
_cell_angle_gamma 120.00
_symmetry_space_group_name_H-M 'P 6/m m m'
_symmetry_Int_Tables_number 191
_symmetry_space_group_name_Hall '-P 6 2'
loop_
_atom_site_label
_atom_site_fract_x
_atom_site_fract_y
_atom_site_fract_z
_atom_site_occupancy
Na1 0.0000 0.0000 0.0000 1
Dy1 0.0000 0.0000 0.5000 1
Hg1 0.3333 0.6667 0.2596 1

What is the ΔE_f in the second record?
-0.273 eV per atom

Repeat the first record exactly.
# NaDyHg, relaxed, DFT GGA-PBE
# ΔE_f = -0.040 eV per atom
# Relative energy among the computed polymorphs = 0.074 eV/atom
data_NaDyHg
_chemical_formula_sum 'Na6 Dy6 Hg6'
_cell_length_a 5.0169
_cell_length_b 5.0169
_cell_length_c 26.2514
_cell_angle_alpha 90.00
_cell_angle_beta 90.00
_cell_angle_gamma 120.00
_symmetry_space_group_name_H-M 'R -3 m'
_symmetry_Int_Tables_number 166
_symmetry_space_group_name_Hall '-R 3 2"'
loop_
_atom_site_label
_atom_site_fract_x
_atom_site_fract_y
_atom_site_fract_z
_atom_site_occupancy
Na1 0.0000 0.0000 0.1326 1
Dy1 0.0000 0.0000 0.3751 1
Hg1 0.0000 0.0000 0.2582 1

The highest ΔE_f belongs to which entry?
NaDyHg